Material: TmInTc
Method: DFT, GGA-PBE
State: optimized geometry

Calculated values
SG: F-43m
Raw total energy in eV per atom: -4.96

a = 4.731 Å, b = 4.731 Å, c = 4.731 Å
α = 60.00°, β = 60.00°, γ = 60.00°
Positions (direct):
Tm (0.000, 0.000, 0.000)
In (0.750, 0.750, 0.750)
Tc (0.250, 0.250, 0.250)

---

Material: ZrFeCoBi
Method: DFT, GGA-PBE
State: optimized geometry

Calculated values
SG: F-43m
Raw total energy in eV per atom: -6.65

a = 4.589 Å, b = 4.589 Å, c = 4.589 Å
α = 60.00°, β = 60.00°, γ = 60.00°
Positions (direct):
Zr (0.000, 0.000, 0.000)
Fe (0.500, 0.500, 0.500)
Co (0.750, 0.750, 0.750)
Bi (0.250, 0.250, 0.250)

---

Material: Nb3SI3Br4
Method: DFT, GGA-PBE
State: optimized geometry

Calculated values
SG: P3m1
Raw total energy in eV per atom: -4.98

a = 7.426 Å, b = 7.426 Å, c = 6.921 Å
α = 90.00°, β = 90.00°, γ = 120.00°
Positions (direct):
Nb (0.202, 0.404, 0.000)
Nb (0.202, 0.798, 0.000)
Nb (0.596, 0.798, 0.000)
S (0.333, 0.667, 0.753)
I (0.338, 0.169, 0.768)
I (0.831, 0.169, 0.768)
I (0.831, 0.662, 0.768)
Br (0.000, 0.000, 0.191)
Br (0.002, 0.501, 0.246)
Br (0.499, 0.501, 0.246)
Br (0.499, 0.998, 0.246)

---

Material: GdDyIn5
Method: DFT, GGA-PBE
State: optimized geometry

Calculated values
SG: P4/mmm
Raw total energy in eV per atom: -3.60

a = 4.644 Å, b = 4.644 Å, c = 8.693 Å
α = 90.00°, β = 90.00°, γ = 90.00°
Positions (direct):
Gd (0.000, 0.000, 0.000)
Dy (0.000, 0.000, 0.500)
In (0.000, 0.500, 0.263)
In (0.000, 0.500, 0.737)
In (0.500, 0.000, 0.263)
In (0.500, 0.000, 0.737)
In (0.500, 0.500, 0.000)

---

Material: LaSmNi2
Method: DFT, GGA-PBE
State: optimized geometry

Calculated values
SG: Amm2
Formation energy from the elements in meV/atom: -353
Raw total energy in eV per atom: -5.55

a = 4.396 Å, b = 5.579 Å, c = 5.579 Å
α = 39.11°, β = 90.00°, γ = 90.00°
Positions (direct):
La (0.000, 0.000, 0.000)
Sm (0.500, 0.726, 0.726)
Ni (0.000, 0.285, 0.285)
Ni (0.500, 0.438, 0.438)

---

Material: Gd3PdBr2
Method: DFT, GGA-PBE
State: optimized geometry

Calculated values
SG: P-4m2
Raw total energy in eV per atom: -4.68

a = 3.917 Å, b = 3.917 Å, c = 10.539 Å
α = 90.00°, β = 90.00°, γ = 90.00°
Positions (direct):
Gd (0.000, 0.000, 0.000)
Gd (0.000, 0.500, 0.737)
Gd (0.500, 0.000, 0.263)
Pd (0.500, 0.500, 0.000)
Br (0.000, 0.500, 0.383)
Br (0.500, 0.000, 0.617)

---

Material: GaGePt
Method: DFT, GGA-PBE
State: optimized geometry

Calculated values
SG: F-43m
Raw total energy in eV per atom: -5.06

a = 4.266 Å, b = 4.266 Å, c = 4.266 Å
α = 60.00°, β = 60.00°, γ = 60.00°
Positions (direct):
Ga (0.000, 0.000, 0.000)
Ge (0.500, 0.500, 0.500)
Pt (0.250, 0.250, 0.250)

---

Material: RbPmAu
Method: DFT, GGA-PBE
State: optimized geometry

Calculated values
SG: F-43m
Raw total energy in eV per atom: -2.62

a = 5.156 Å, b = 5.156 Å, c = 5.156 Å
α = 60.00°, β = 60.00°, γ = 60.00°
Positions (direct):
Rb (0.000, 0.000, 0.000)
Pm (0.750, 0.750, 0.750)
Au (0.500, 0.500, 0.500)

---

Material: ErNbSnC
Method: DFT, GGA-PBE
State: optimized geometry

Calculated values
SG: P6_3mc
Raw total energy in eV per atom: -7.48

a = 3.349 Å, b = 3.349 Å, c = 14.999 Å
α = 90.00°, β = 90.00°, γ = 120.00°
Positions (direct):
Er (0.333, 0.667, 0.000)
Er (0.667, 0.333, 0.500)
Nb (0.333, 0.667, 0.671)
Nb (0.667, 0.333, 0.171)
Sn (0.333, 0.667, 0.325)
Sn (0.667, 0.333, 0.825)
C (0.000, 0.000, 0.095)
C (0.000, 0.000, 0.595)

---

Material: Pm2Tm
Method: DFT, GGA-PBE
State: optimized geometry

Calculated values
SG: Fd-3m
Formation energy from the elements in meV/atom: 262
Raw total energy in eV per atom: -4.39

a = 6.602 Å, b = 6.602 Å, c = 6.602 Å
α = 60.00°, β = 60.00°, γ = 60.00°
Positions (direct):
Pm (0.000, 0.000, 0.000)
Pm (0.000, 0.000, 0.500)
Pm (0.000, 0.500, 0.000)
Pm (0.500, 0.000, 0.000)
Tm (0.375, 0.375, 0.375)
Tm (0.625, 0.625, 0.625)

---

Material: TaCoAgSb
Method: DFT, GGA-PBE
State: optimized geometry

Calculated values
SG: F-43m
Raw total energy in eV per atom: -6.04

a = 4.575 Å, b = 4.575 Å, c = 4.575 Å
α = 60.00°, β = 60.00°, γ = 60.00°
Positions (direct):
Ta (0.000, 0.000, 0.000)
Co (0.500, 0.500, 0.500)
Ag (0.750, 0.750, 0.750)
Sb (0.250, 0.250, 0.250)

---

Material: Ba5Fe4S11
Method: DFT, GGA-PBE
State: optimized geometry

Calculated values
SG: Pmn2_1
Raw total energy in eV per atom: -5.62

a = 15.849 Å, b = 7.252 Å, c = 8.926 Å
α = 90.00°, β = 90.00°, γ = 90.00°
Positions (direct):
Ba (0.000, 0.009, 0.000)
Ba (0.175, 0.527, 0.242)
Ba (0.196, 0.988, 0.618)
Ba (0.304, 0.012, 0.118)
Ba (0.325, 0.473, 0.742)
Ba (0.500, 0.991, 0.500)
Ba (0.675, 0.473, 0.742)
Ba (0.696, 0.012, 0.118)
Ba (0.804, 0.988, 0.618)
Ba (0.825, 0.527, 0.242)
Fe (0.000, 0.065, 0.390)
Fe (0.000, 0.379, 0.580)
Fe (0.105, 0.509, 0.847)
Fe (0.395, 0.491, 0.347)
Fe (0.500, 0.621, 0.080)
Fe (0.500, 0.935, 0.890)
Fe (0.605, 0.491, 0.347)
Fe (0.895, 0.509, 0.847)
S (0.000, 0.075, 0.645)
S (0.000, 0.367, 0.333)
S (0.000, 0.559, 0.006)
S (0.119, 0.949, 0.291)
S (0.125, 0.522, 0.599)
S (0.171, 0.256, 0.928)
S (0.186, 0.747, 0.913)
S (0.314, 0.253, 0.413)
S (0.329, 0.744, 0.428)
S (0.375, 0.478, 0.099)
S (0.381, 0.051, 0.791)
S (0.500, 0.441, 0.506)
S (0.500, 0.633, 0.833)
S (0.500, 0.925, 0.145)
S (0.619, 0.051, 0.791)
S (0.625, 0.478, 0.099)
S (0.671, 0.744, 0.428)
S (0.686, 0.253, 0.413)
S (0.814, 0.747, 0.913)
S (0.829, 0.256, 0.928)
S (0.875, 0.522, 0.599)
S (0.881, 0.949, 0.291)

---

Material: CoSnHgTe3
Method: DFT, GGA-PBE
State: optimized geometry

Calculated values
SG: Cmcm
Raw total energy in eV per atom: -3.57

a = 8.722 Å, b = 8.722 Å, c = 10.381 Å
α = 90.00°, β = 90.00°, γ = 154.15°
Positions (direct):
Co (0.000, 0.000, 0.000)
Co (0.000, 0.000, 0.500)
Sn (0.336, 0.664, 0.750)
Sn (0.664, 0.336, 0.250)
Hg (0.296, 0.704, 0.250)
Hg (0.704, 0.296, 0.750)
Te (0.032, 0.968, 0.250)
Te (0.402, 0.598, 0.025)
Te (0.402, 0.598, 0.475)
Te (0.598, 0.402, 0.525)
Te (0.598, 0.402, 0.975)
Te (0.968, 0.032, 0.750)

---

Material: CdTePbO
Method: DFT, GGA-PBE
State: optimized geometry

Calculated values
SG: Pbca
Raw total energy in eV per atom: -3.80

a = 7.444 Å, b = 8.312 Å, c = 13.651 Å
α = 90.00°, β = 90.00°, γ = 90.00°
Positions (direct):
Cd (0.071, 0.216, 0.055)
Cd (0.071, 0.284, 0.555)
Cd (0.429, 0.716, 0.055)
Cd (0.429, 0.784, 0.555)
Cd (0.571, 0.216, 0.445)
Cd (0.571, 0.284, 0.945)
Cd (0.929, 0.716, 0.445)
Cd (0.929, 0.784, 0.945)
Te (0.241, 0.039, 0.446)
Te (0.241, 0.461, 0.946)
Te (0.259, 0.539, 0.446)
Te (0.259, 0.961, 0.946)
Te (0.741, 0.039, 0.054)
Te (0.741, 0.461, 0.554)
Te (0.759, 0.539, 0.054)
Te (0.759, 0.961, 0.554)
Pb (0.118, 0.581, 0.730)
Pb (0.118, 0.919, 0.230)
Pb (0.382, 0.081, 0.730)
Pb (0.382, 0.419, 0.230)
Pb (0.618, 0.581, 0.770)
Pb (0.618, 0.919, 0.270)
Pb (0.882, 0.081, 0.770)
Pb (0.882, 0.419, 0.270)
O (0.122, 0.237, 0.713)
O (0.122, 0.263, 0.213)
O (0.378, 0.737, 0.713)
O (0.378, 0.763, 0.213)
O (0.622, 0.237, 0.787)
O (0.622, 0.263, 0.287)
O (0.878, 0.737, 0.787)
O (0.878, 0.763, 0.287)

---

Material: PrGdMg6
Method: DFT, GGA-PBE
State: optimized geometry

Calculated values
SG: Pmm2
Raw total energy in eV per atom: -2.45

a = 5.228 Å, b = 7.400 Å, c = 5.230 Å
α = 90.00°, β = 90.00°, γ = 90.00°
Positions (direct):
Pr (0.000, 0.000, 0.000)
Gd (0.500, 0.500, 0.492)
Mg (0.000, 0.254, 0.500)
Mg (0.000, 0.500, 0.000)
Mg (0.000, 0.746, 0.500)
Mg (0.500, 0.000, 0.494)
Mg (0.500, 0.254, 0.992)
Mg (0.500, 0.746, 0.992)

---

Material: Pr2Te
Method: DFT, GGA-PBE
State: optimized geometry

Calculated values
SG: Fm-3m
Raw total energy in eV per atom: -4.95

a = 5.264 Å, b = 5.264 Å, c = 5.264 Å
α = 60.00°, β = 60.00°, γ = 60.00°
Positions (direct):
Pr (0.250, 0.250, 0.250)
Pr (0.750, 0.750, 0.750)
Te (0.000, 0.000, 0.000)

---

Material: CsNaUTe3
Method: DFT, GGA-PBE
State: optimized geometry

Calculated values
SG: Cmcm
Raw total energy in eV per atom: -4.64

a = 8.591 Å, b = 8.591 Å, c = 12.130 Å
α = 90.00°, β = 90.00°, γ = 148.61°
Positions (direct):
Cs (0.237, 0.763, 0.750)
Cs (0.763, 0.237, 0.250)
Na (0.056, 0.944, 0.250)
Na (0.944, 0.056, 0.750)
U (0.500, 0.500, 0.000)
U (0.500, 0.500, 0.500)
Te (0.123, 0.877, 0.026)
Te (0.123, 0.877, 0.474)
Te (0.447, 0.553, 0.250)
Te (0.553, 0.447, 0.750)
Te (0.877, 0.123, 0.526)
Te (0.877, 0.123, 0.974)

---

Material: PaCdGe
Method: DFT, GGA-PBE
State: optimized geometry

Calculated values
SG: F-43m
Raw total energy in eV per atom: -4.65

a = 4.900 Å, b = 4.900 Å, c = 4.900 Å
α = 60.00°, β = 60.00°, γ = 60.00°
Positions (direct):
Pa (0.000, 0.000, 0.000)
Cd (0.750, 0.750, 0.750)
Ge (0.250, 0.250, 0.250)

---

Material: NbAgO2F
Method: DFT, GGA-PBE
State: optimized geometry

Calculated values
SG: Pnma
Raw total energy in eV per atom: -6.67

a = 5.584 Å, b = 8.186 Å, c = 5.547 Å
α = 90.00°, β = 90.00°, γ = 90.00°
Positions (direct):
Nb (0.000, 0.000, 0.000)
Nb (0.000, 0.500, 0.000)
Nb (0.500, 0.000, 0.500)
Nb (0.500, 0.500, 0.500)
Ag (0.025, 0.250, 0.452)
Ag (0.475, 0.750, 0.952)
Ag (0.525, 0.250, 0.048)
Ag (0.975, 0.750, 0.548)
O (0.219, 0.531, 0.717)
O (0.219, 0.969, 0.717)
O (0.281, 0.031, 0.217)
O (0.281, 0.469, 0.217)
O (0.719, 0.531, 0.783)
O (0.719, 0.969, 0.783)
O (0.781, 0.031, 0.283)
O (0.781, 0.469, 0.283)
F (0.015, 0.250, 0.899)
F (0.485, 0.750, 0.399)
F (0.515, 0.250, 0.601)
F (0.985, 0.750, 0.101)

---

Material: HgAsW4
Method: DFT, GGA-PBE
State: optimized geometry

Calculated values
SG: Cmmm
Raw total energy in eV per atom: -7.47

a = 5.245 Å, b = 5.245 Å, c = 4.675 Å
α = 90.00°, β = 90.00°, γ = 93.31°
Positions (direct):
Hg (0.000, 0.000, 0.000)
As (0.500, 0.500, 0.500)
W (0.175, 0.175, 0.500)
W (0.345, 0.655, 0.000)
W (0.655, 0.345, 0.000)
W (0.825, 0.825, 0.500)

---

Material: SrCo3
Method: DFT, GGA-PBE
State: optimized geometry

Calculated values
SG: P6_3/mmc
Raw total energy in eV per atom: -5.14

a = 6.650 Å, b = 6.650 Å, c = 3.936 Å
α = 90.00°, β = 90.00°, γ = 120.00°
Positions (direct):
Sr (0.333, 0.667, 0.250)
Sr (0.667, 0.333, 0.750)
Co (0.118, 0.235, 0.750)
Co (0.118, 0.882, 0.750)
Co (0.235, 0.118, 0.250)
Co (0.765, 0.882, 0.750)
Co (0.882, 0.118, 0.250)
Co (0.882, 0.765, 0.250)

---

Material: Pr2SmIn3Ir3
Method: DFT, GGA-PBE
State: optimized geometry

Calculated values
SG: Amm2
Raw total energy in eV per atom: -6.09

a = 4.083 Å, b = 7.616 Å, c = 7.616 Å
α = 119.89°, β = 90.00°, γ = 90.00°
Positions (direct):
Pr (0.000, 0.205, 0.795)
Pr (0.000, 0.795, 0.205)
Sm (0.000, 0.613, 0.613)
In (0.500, 0.207, 0.457)
In (0.500, 0.457, 0.207)
In (0.500, 0.952, 0.952)
Ir (0.000, 0.207, 0.207)
Ir (0.500, 0.539, 0.868)
Ir (0.500, 0.868, 0.539)